Entry 1:
Computed, not measured: a geometry-optimized FeSiCl2 structure at the PBE level of DFT. Values from VASP.

Computed properties:
Offset from the most stable computed form: 149 meV per atom
Space group: Cm (8)

Geometry as Quantum ESPRESSO input:
```
&SYSTEM
  ibrav = 0, nat = 4, ntyp = 3
/
ATOMIC_SPECIES
Si 28.09 Si.upf
Fe 55.84 Fe.upf
Cl 35.45 Cl.upf
ATOMIC_POSITIONS crystal
Si 0.845 0.845 0.638
Fe 0.563 0.563 0.610
Cl 0.963 0.963 0.891
Cl 0.129 0.129 0.362
CELL_PARAMETERS angstrom
-2.742 -2.579 2.207
0.350 -3.698 2.290
0.626 2.235 6.822
```



Entry 2:
Computed, not measured: a geometry-optimized FeSiCl structure at the PBE level of DFT. Values from VASP.

Computed properties:
Offset from the most stable computed form: 251 meV per atom
Space group: C2/m (12)

Geometry as Quantum ESPRESSO input:
```
&SYSTEM
  ibrav = 0, nat = 12, ntyp = 3
/
ATOMIC_SPECIES
Cl 35.45 Cl.upf
Fe 55.84 Fe.upf
Si 28.09 Si.upf
ATOMIC_POSITIONS crystal
Cl 0.556 0.000 0.398
Cl 0.444 0.500 0.102
Cl 0.556 0.500 0.898
Cl 0.444 0.000 0.602
Fe 0.811 0.500 0.182
Fe 0.811 0.000 0.682
Fe 0.189 0.000 0.318
Fe 0.189 0.500 0.818
Si 0.053 0.000 0.630
Si 0.053 0.500 0.130
Si 0.947 0.000 0.370
Si 0.947 0.500 0.870
CELL_PARAMETERS angstrom
7.773 0.000 0.004
0.000 3.211 0.000
-7.692 0.000 8.145
```



Entry 3:
Computed, not measured: a geometry-optimized FeSiCl structure at the PBE level of DFT. Values from VASP.

Computed properties:
Offset from the most stable computed form: 251 meV per atom
Space group: Imm2 (44)

Geometry as Quantum ESPRESSO input:
```
&SYSTEM
  ibrav = 0, nat = 12, ntyp = 3
/
ATOMIC_SPECIES
Cl 35.45 Cl.upf
Fe 55.84 Fe.upf
Si 28.09 Si.upf
ATOMIC_POSITIONS crystal
Cl 0.227 0.500 0.359
Cl 0.727 0.000 0.859
Cl 0.273 0.000 0.859
Cl 0.773 0.500 0.359
Fe 0.612 0.000 0.481
Fe 0.388 0.000 0.481
Fe 0.112 0.500 0.981
Fe 0.888 0.500 0.981
Si 0.500 0.500 0.733
Si 0.500 0.500 0.215
Si 0.000 0.000 0.715
Si 0.000 0.000 0.233
CELL_PARAMETERS angstrom
11.315 0.000 0.000
0.000 3.052 0.000
0.000 0.000 5.205
```



Entry 4:
Computed, not measured: a geometry-optimized FeSiCl2 structure at the PBE level of DFT. Values from VASP.

Computed properties:
Offset from the most stable computed form: 567 meV per atom
Space group: P4/mmm (123)

Geometry as Quantum ESPRESSO input:
```
&SYSTEM
  ibrav = 0, nat = 4, ntyp = 3
/
ATOMIC_SPECIES
Cl 35.45 Cl.upf
Fe 55.84 Fe.upf
Si 28.09 Si.upf
ATOMIC_POSITIONS crystal
Cl 0.000 0.000 0.398
Cl 0.000 0.000 0.102
Fe 0.500 0.500 0.250
Si 0.500 0.500 0.750
CELL_PARAMETERS angstrom
2.968 0.000 0.000
0.000 2.968 0.000
0.000 0.000 10.294
```